CdInSn2 after structural relaxation. Source: Alexandria via LeMat-Bulk, functional PBE.

## Properties
ΔH_f (0 K)   0.045 eV/atom
Volume   26.4 A^3/atom
Spin magnetization   0.00 μB/atom

a = 4.689 Å, b = 5.210 Å, c = 8.654 Å
α = 90.00°, β = 90.00°, γ = 90.00°
Positions (direct):
Cd 0.000 0.000 0.000
Cd 0.500 0.500 0.000
In 0.000 0.000 0.500
In 0.500 0.500 0.500
Sn 0.000 0.500 0.241
Sn 0.000 0.500 0.759
Sn 0.500 0.000 0.241
Sn 0.500 0.000 0.759